Entry 1:
DFT (GGA-PBE) results for a relaxed LiHo2Ga3Pd4 crystal.

Computed properties:
Magnetic moment in μB/f.u.: 0.0
Calculated formation energy in eV per formula unit: -7.53
Raw total energy in eV/cell: -48.45
Space group: P-4m2, No. 115

The structure in POSCAR format:
```
LiHo2Ga3Pd4
1.0
3.969 0.000 0.000
0.000 3.969 0.000
0.000 0.000 11.662
Li Ho Ga Pd
1 2 3 4
Direct
0.000 0.000 0.000 Li
0.000 0.500 0.751 Ho
0.500 0.000 0.249 Ho
0.000 0.500 0.366 Ga
0.500 0.000 0.634 Ga
0.500 0.500 0.000 Ga
0.000 0.000 0.500 Pd
0.000 0.500 0.150 Pd
0.500 0.000 0.850 Pd
0.500 0.500 0.500 Pd
```

Entry 2:
DFT (GGA-PBE) results for a relaxed LiHoGa2Pd4 crystal.

Computed properties:
Magnetic moment in μB/f.u.: 0.0
Calculated formation energy in eV per formula unit: -5.98
Raw total energy in eV/cell: -39.30
Space group: R-3m, No. 166

The structure in POSCAR format:
```
LiHoGa2Pd4
1.0
2.173 1.255 8.007
-2.173 1.255 8.007
0.000 -2.509 8.007
Li Ho Ga Pd
1 1 2 4
Direct
0.000 0.000 0.000 Li
0.500 0.500 0.500 Ho
0.260 0.260 0.260 Ga
0.740 0.740 0.740 Ga
0.103 0.103 0.103 Pd
0.371 0.371 0.371 Pd
0.629 0.629 0.629 Pd
0.897 0.897 0.897 Pd
```

Entry 3:
DFT (GGA-PBE) results for a relaxed LiHoGa2Pd2 crystal.

Computed properties:
Magnetic moment in μB/f.u.: 0.0
Calculated formation energy in eV per formula unit: -4.36
Raw total energy in eV/cell: -27.29
Space group: P-3m1, No. 164

The structure in POSCAR format:
```
LiHoGa2Pd2
1.0
4.388 0.000 0.000
-2.194 3.800 0.000
0.000 0.000 6.370
Li Ho Ga Pd
1 1 2 2
Direct
0.000 0.000 0.000 Li
0.000 0.000 0.500 Ho
0.333 0.667 0.803 Ga
0.667 0.333 0.197 Ga
0.333 0.667 0.218 Pd
0.667 0.333 0.782 Pd
```

Entry 4:
DFT (GGA-PBE) results for a relaxed LiHoGa4Pd2 crystal.

Computed properties:
Magnetic moment in μB/f.u.: 0.0
Calculated formation energy in eV per formula unit: -4.87
Raw total energy in eV/cell: -33.85
Space group: R-3m, No. 166

The structure in POSCAR format:
```
LiHoGa4Pd2
1.0
2.153 1.243 8.424
-2.153 1.243 8.424
0.000 -2.486 8.424
Li Ho Ga Pd
1 1 4 2
Direct
0.000 0.000 0.000 Li
0.500 0.500 0.500 Ho
0.104 0.104 0.104 Ga
0.371 0.371 0.371 Ga
0.629 0.629 0.629 Ga
0.896 0.896 0.896 Ga
0.263 0.263 0.263 Pd
0.737 0.737 0.737 Pd
```